Entry 1:
PBE-GGA Rb2GaCuI6, optimized geometry; space-group type = Fm-3m, No. 225; formation energy without anion corrections = -0.71 eV/atom; density = 4.7 g/cm3; crystal system = cubic; final energy = -0.1873 Ry per atom
1.0
8.117 0.000 0.000
0.000 8.117 0.000
4.059 4.059 5.741
Cu I Rb Ga
1 6 2 1
Cartesian
4.059 4.059 0.000
2.050 6.067 0.000
2.050 2.050 0.000
6.067 2.050 0.000
6.067 6.067 0.000
8.117 8.117 2.907
4.059 4.059 2.834
8.117 4.059 2.870
4.059 8.117 2.870
0.000 0.000 0.000

***

Entry 2:
PBE-GGA GaCuRuI2, optimized geometry; space-group type = P4/mmm, No. 123; formation energy without anion corrections = 0.94 eV/atom; density = 5.9 g/cm3; crystal system = tetragonal; final energy = -0.2176 Ry per atom
1.0
5.482 0.000 0.000
0.000 4.600 0.000
0.000 0.000 5.482
Ga I Ru Cu
1 2 1 1
Cartesian
0.000 2.300 0.000
0.000 0.000 2.741
2.741 0.000 0.000
2.741 2.300 2.741
0.000 0.000 0.000

***

Entry 3:
PBE-GGA GaCuSbI2, optimized geometry; space-group type = P4/mmm, No. 123; formation energy without anion corrections = 0.65 eV/atom; density = 4.9 g/cm3; crystal system = tetragonal; final energy = -0.1634 Ry per atom
1.0
-5.558 -0.197 0.941
0.959 -0.700 5.514
-0.073 5.377 0.695
Sb Ga Cu I
1 1 1 2
Cartesian
-0.036 2.688 0.348
0.000 0.000 0.000
-2.336 2.240 3.575
-2.779 -0.098 0.471
0.479 -0.350 2.757

***

Question: Number 3 is which compound?
Answer: GaCuSbI2

***

Question: Among the records above, which one has the lowest density?
Answer: Rb2GaCuI6

***

Question: Among the records above, which one has the lowest density?
Answer: Rb2GaCuI6

***

Question: Which of these has the highest final energy?
Answer: GaCuSbI2